#one
Compound: PrHoTmAl
Source: the Alexandria database
Functional: PBE-GGA
Structure: optimized geometry

a b c (Å): 5.3895 5.3895 5.3895
angles (deg): 60.00 60.00 60.00
Last column: nearest neighbours and their distance in Å.
Positions (direct):
Pr (0.0000, 0.0000, 0.0000)  4 Al 3.30, 4 Tm 3.30
Ho (0.5000, 0.5000, 0.5000)  4 Al 3.30, 4 Tm 3.30
Tm (0.2500, 0.2500, 0.2500)  4 Ho 3.30, 4 Pr 3.30
Al (0.7500, 0.7500, 0.7500)  4 Pr 3.30, 4 Ho 3.30

Properties
Mass density   7.5 g cm⁻³
DOS(E_F)   6.654 states/eV/f.u.
Spin magnetization   0.00 μB/cell

=====

#two
Compound: PrHoTmAl
Source: the Alexandria database
Functional: PBE-GGA
Structure: optimized geometry

a b c (Å): 3.5276 3.5276 9.0690
angles (deg): 90.00 90.00 90.00
Last column: nearest neighbours and their distance in Å.
Positions (direct):
Pr (0.0000, 0.0000, 0.0000)  4 Pr 3.53, 4 Tm 3.63, 4 Ho 3.66
Ho (0.5000, 0.5000, 0.7045)  4 Al 3.13
Tm (0.5000, 0.5000, 0.2904)  4 Al 3.11
Al (0.0000, 0.0000, 0.4955)  4 Tm 3.11, 4 Ho 3.13

Properties
Mass density   7.4 g cm⁻³
DOS(E_F)   3.140 states/eV/f.u.
Spin magnetization   0.00 μB/cell

=====

Relative to the most stable one, in kJ/mol of atoms, the structures come out at #one 13.0; #two 0.0.

=====

#one
Compound: Ho2AlPt
Source: the Alexandria database
Functional: PBE-GGA
Structure: optimized geometry

a b c (Å): 5.9778 4.4087 7.5131
angles (deg): 90.00 110.85 90.00
Last column: nearest neighbours and their distance in Å.
Positions (direct):
Ho (0.1693, 0.2500, 0.4079)  3 Pt 2.88-3.00, 4 Al 3.10
Ho (0.2634, 0.7500, 0.0714)  4 Pt 2.96-3.19, 3 Al 3.05-3.09
Ho (0.7366, 0.2500, 0.9286)  4 Pt 2.96-3.19, 3 Al 3.05-3.09
Ho (0.8307, 0.7500, 0.5921)  3 Pt 2.88-3.00, 4 Al 3.10
Al (0.3839, 0.7500, 0.7100)  2 Pt 2.74, 1 Ho 3.05
Al (0.6161, 0.2500, 0.2900)  2 Pt 2.74, 1 Ho 3.05
Pt (0.1666, 0.2500, 0.7911)  2 Al 2.74, 5 Ho 2.88-3.00
Pt (0.8334, 0.7500, 0.2089)  2 Al 2.74, 5 Ho 2.88-3.00

Properties
Mass density   9.9 g cm⁻³
DOS(E_F)   2.256 states/eV/f.u.
Spin magnetization   0.00 μB/cell

=====

#two
Compound: Ho2AlPt
Source: the Alexandria database
Functional: PBE-GGA
Structure: optimized geometry

a b c (Å): 5.0056 5.0056 5.0056
angles (deg): 60.00 60.00 60.00
Last column: nearest neighbours and their distance in Å.
Positions (direct):
Ho (0.2500, 0.2500, 0.2500)  4 Al 3.07, 4 Pt 3.07
Ho (0.7500, 0.7500, 0.7500)  4 Al 3.07, 4 Pt 3.07
Al (0.0000, 0.0000, 0.0000)  8 Ho 3.07
Pt (0.5000, 0.5000, 0.5000)  8 Ho 3.07

Properties
Mass density   10.3 g cm⁻³
DOS(E_F)   2.626 states/eV/f.u.
Spin magnetization   0.00 μB/cell

=====

Relative to the most stable one, in kJ/mol of atoms, the structures come out at #one 0.0; #two 9.9.

=====

#one
Compound: Ho2AlPt
Source: the Alexandria database
Functional: PBE-GGA
Structure: optimized geometry

a b c (Å): 10.1810 10.1810 10.1810
angles (deg): 18.72 18.72 18.72
Last column: nearest neighbours and their distance in Å.
Positions (direct):
Ho (0.0875, 0.0875, 0.0875)  1 Pt 2.63
Ho (0.9125, 0.9125, 0.9125)  1 Pt 2.63
Al (0.5000, 0.5000, 0.5000)  6 Ho 3.05, 6 Al 3.31
Pt (0.0000, 0.0000, 0.0000)  2 Ho 2.63

Properties
Mass density   9.7 g cm⁻³
DOS(E_F)   1.810 states/eV/f.u.
Spin magnetization   0.00 μB/cell

=====

#two
Compound: Ho2AlPt
Source: the Alexandria database
Functional: PBE-GGA
Structure: optimized geometry

a b c (Å): 3.5629 3.5629 6.9424
angles (deg): 90.00 90.00 90.00
Last column: nearest neighbours and their distance in Å.
Positions (direct):
Ho (0.0000, 0.0000, 0.2370)  4 Pt 3.01, 4 Al 3.11, 1 Ho 3.29
Ho (0.0000, 0.0000, 0.7630)  4 Pt 3.01, 4 Al 3.11, 1 Ho 3.29
Al (0.5000, 0.5000, 0.5000)  8 Ho 3.11, 2 Pt 3.47
Pt (0.5000, 0.5000, 0.0000)  8 Ho 3.01

Properties
Mass density   10.4 g cm⁻³
DOS(E_F)   2.180 states/eV/f.u.
Spin magnetization   0.00 μB/cell

=====

Relative to the most stable one, in kJ/mol of atoms, the structures come out at #one 74.6; #two 0.0.

=====

#one
Compound: Ho3PuAl8
Source: the Alexandria database
Functional: PBE-GGA
Structure: optimized geometry

a b c (Å): 9.6242 9.6242 9.6242
angles (deg): 33.44 33.44 33.44
Last column: nearest neighbours and their distance in Å.
Positions (direct):
Ho (0.0000, 0.0000, 0.0000)  12 Al 3.24-3.25, 4 Ho 3.41-3.44
Ho (0.1263, 0.1263, 0.1263)  12 Al 3.23-3.28, 3 Pu 3.38, 1 Ho 3.44
Ho (0.6227, 0.6227, 0.6227)  12 Al 3.22-3.30, 1 Pu 3.35, 3 Ho 3.41
Pu (0.4996, 0.4996, 0.4996)  12 Al 3.25-3.26, 4 Ho 3.35-3.38
Al (0.0623, 0.0623, 0.5637)  6 Al 2.76-2.78
Al (0.0624, 0.5615, 0.5615)  6 Al 2.76-2.79
Al (0.0623, 0.5637, 0.0623)  6 Al 2.76-2.78
Al (0.3124, 0.3124, 0.3124)  6 Al 2.76-2.77
Al (0.5615, 0.0624, 0.5615)  6 Al 2.76-2.79
Al (0.5615, 0.5615, 0.0624)  6 Al 2.76-2.79
Al (0.5637, 0.0623, 0.0623)  6 Al 2.76-2.78
Al (0.8124, 0.8124, 0.8124)  6 Al 2.78-2.79

Properties
Mass density   6.6 g cm⁻³
DOS(E_F)   18.928 states/eV/f.u.
Spin magnetization   6.12 μB/cell

=====

#two
Compound: Ho3PuAl8
Source: the Alexandria database
Functional: PBE-GGA
Structure: optimized geometry

a b c (Å): 5.5500 5.5500 9.0460
angles (deg): 90.00 90.00 120.00
Last column: nearest neighbours and their distance in Å.
Positions (direct):
Ho (0.0000, 0.0000, 0.0000)  12 Al 3.23-3.25, 4 Ho 3.36-3.45
Ho (0.0000, 0.0000, 0.3713)  12 Al 3.24-3.26, 1 Ho 3.36, 3 Pu 3.42
Ho (0.3333, 0.6667, 0.8587)  12 Al 3.19-3.32, 1 Pu 3.22, 3 Ho 3.45
Pu (0.3333, 0.6667, 0.5027)  4 Ho 3.22-3.42, 12 Al 3.23-3.28
Al (0.0095, 0.5047, 0.1831)  6 Al 2.70-2.85
Al (0.3241, 0.1620, 0.6850)  6 Al 2.70-2.85
Al (0.4953, 0.5047, 0.1831)  6 Al 2.70-2.85
Al (0.4953, 0.9905, 0.1831)  6 Al 2.70-2.85
Al (0.6667, 0.3333, 0.4350)  6 Al 2.80-2.81
Al (0.6667, 0.3333, 0.9368)  6 Al 2.77-2.81
Al (0.8380, 0.1620, 0.6850)  6 Al 2.70-2.85
Al (0.8380, 0.6759, 0.6850)  6 Al 2.70-2.85

Properties
Mass density   6.6 g cm⁻³
DOS(E_F)   17.104 states/eV/f.u.
Spin magnetization   5.83 μB/cell

=====

Relative to the most stable one, in kJ/mol of atoms, the structures come out at #one 0.0; #two 0.8.

=====

#one
Compound: HoPu3Al8
Source: the Alexandria database
Functional: PBE-GGA
Structure: optimized geometry

a b c (Å): 5.5718 5.5718 8.7624
angles (deg): 90.00 90.00 120.00
Last column: nearest neighbours and their distance in Å.
Positions (direct):
Ho (0.0000, 0.0000, 0.0000)  4 Pu 3.16-3.54, 12 Al 3.19-3.29
Pu (0.0000, 0.0000, 0.3609)  1 Ho 3.16, 12 Al 3.17-3.27, 3 Pu 3.50
Pu (0.6667, 0.3333, 0.5190)  1 Pu 2.74
Pu (0.6667, 0.3333, 0.8318)  1 Pu 2.74
Al (0.1607, 0.3213, 0.6765)  6 Al 2.69-2.89
Al (0.1607, 0.8393, 0.6765)  6 Al 2.69-2.89
Al (0.3333, 0.6667, 0.4258)  6 Al 2.75-2.76
Al (0.3333, 0.6667, 0.9239)  6 Al 2.73-2.77
Al (0.5062, 0.0125, 0.1764)  6 Al 2.68-2.89
Al (0.5062, 0.4938, 0.1764)  6 Al 2.68-2.89
Al (0.6787, 0.8393, 0.6765)  6 Al 2.69-2.89
Al (0.9875, 0.4938, 0.1764)  6 Al 2.68-2.89

Properties
Mass density   7.8 g cm⁻³
DOS(E_F)   31.843 states/eV/f.u.
Spin magnetization   5.79 μB/cell

=====

#two
Compound: HoPu3Al8
Source: the Alexandria database
Functional: PBE-GGA
Structure: optimized geometry

a b c (Å): 9.5451 9.5451 9.5451
angles (deg): 33.69 33.69 33.69
Last column: nearest neighbours and their distance in Å.
Positions (direct):
Ho (0.0000, 0.0000, 0.0000)  12 Al 3.22-3.25, 4 Pu 3.40-3.44
Pu (0.3811, 0.3811, 0.3811)  12 Al 3.16-3.33, 1 Pu 3.20, 3 Ho 3.44
Pu (0.4996, 0.4996, 0.4996)  4 Pu 3.20-3.38, 12 Al 3.23-3.28
Pu (0.8741, 0.8741, 0.8741)  12 Al 3.20-3.28, 3 Pu 3.38, 1 Ho 3.40
Al (0.1889, 0.1889, 0.1889)  6 Al 2.76-2.78
Al (0.4383, 0.9380, 0.9380)  6 Al 2.73-2.78
Al (0.4387, 0.4387, 0.9402)  6 Al 2.76-2.77
Al (0.4387, 0.9402, 0.4387)  6 Al 2.76-2.77
Al (0.6892, 0.6892, 0.6892)  6 Al 2.73-2.76
Al (0.9380, 0.4383, 0.9380)  6 Al 2.73-2.78
Al (0.9380, 0.9380, 0.4383)  6 Al 2.73-2.78
Al (0.9402, 0.4387, 0.4387)  6 Al 2.76-2.77

Properties
Mass density   7.8 g cm⁻³
DOS(E_F)   26.531 states/eV/f.u.
Spin magnetization   5.18 μB/cell

=====

Relative to the most stable one, in kJ/mol of atoms, the structures come out at #one 1.3; #two 0.0.

=====

#one
Compound: Ho4AlRu
Source: the Alexandria database
Functional: PBE-GGA
Structure: optimized geometry

a b c (Å): 7.6624 7.6624 6.0927
angles (deg): 99.68 99.68 112.33
Last column: nearest neighbours and their distance in Å.
Positions (direct):
Ho (0.0626, 0.7213, 0.9537)  2 Ru 2.78-2.81
Ho (0.2105, 0.3643, 0.6044)  2 Ru 2.90-3.02, 1 Al 3.11
Ho (0.2787, 0.9374, 0.5463)  2 Ru 2.78-2.81
Ho (0.3643, 0.2105, 0.1044)  2 Ru 2.90-3.02, 1 Al 3.11
Ho (0.6357, 0.7895, 0.8956)  2 Ru 2.90-3.02, 1 Al 3.11
Ho (0.7213, 0.0626, 0.4537)  2 Ru 2.78-2.81
Ho (0.7895, 0.6357, 0.3956)  2 Ru 2.90-3.02, 1 Al 3.11
Ho (0.9374, 0.2787, 0.0463)  2 Ru 2.78-2.81
Al (0.3758, 0.6242, 0.2500)  8 Ho 3.11-3.27
Al (0.6242, 0.3758, 0.7500)  8 Ho 3.11-3.27
Ru (0.0010, 0.9990, 0.7500)  8 Ho 2.78-3.02, 2 Ru 3.05
Ru (0.9990, 0.0010, 0.2500)  8 Ho 2.78-3.02, 2 Ru 3.05

Properties
Mass density   8.3 g cm⁻³
DOS(E_F)   5.689 states/eV/f.u.
Spin magnetization   0.00 μB/cell

=====

#two
Compound: Ho4AlRu
Source: the Alexandria database
Functional: PBE-GGA
Structure: optimized geometry

a b c (Å): 9.4654 9.4654 9.4654
angles (deg): 60.00 60.00 60.00
Last column: nearest neighbours and their distance in Å.
Positions (direct):
Ho (0.1890, 0.1890, 0.8110)  2 Al 3.29, 10 Ho 3.40-3.58, 2 Ru 3.40
Ho (0.1890, 0.8110, 0.1890)  2 Al 3.29, 10 Ho 3.40-3.58, 2 Ru 3.40
Ho (0.1890, 0.8110, 0.8110)  2 Al 3.29, 10 Ho 3.40-3.58, 2 Ru 3.40
Ho (0.3995, 0.3995, 0.3995)  3 Ru 2.83
Ho (0.3995, 0.3995, 0.8015)  3 Ru 2.83
Ho (0.3995, 0.8015, 0.3995)  3 Ru 2.83
Ho (0.5560, 0.5560, 0.9440)  2 Ru 2.74
Ho (0.5560, 0.9440, 0.5560)  2 Ru 2.74
Ho (0.5560, 0.9440, 0.9440)  2 Ru 2.74
Ho (0.8015, 0.3995, 0.3995)  3 Ru 2.83
Ho (0.8110, 0.1890, 0.1890)  2 Al 3.29, 10 Ho 3.40-3.58, 2 Ru 3.40
Ho (0.8110, 0.1890, 0.8110)  2 Al 3.29, 10 Ho 3.40-3.58, 2 Ru 3.40
Ho (0.8110, 0.8110, 0.1890)  2 Al 3.29, 10 Ho 3.40-3.58, 2 Ru 3.40
Ho (0.9440, 0.5560, 0.5560)  2 Ru 2.74
Ho (0.9440, 0.5560, 0.9440)  2 Ru 2.74
Ho (0.9440, 0.9440, 0.5560)  2 Ru 2.74
Al (0.1733, 0.1733, 0.1733)  3 Al 2.90
Al (0.1733, 0.1733, 0.4801)  3 Al 2.90
Al (0.1733, 0.4801, 0.1733)  3 Al 2.90
Al (0.4801, 0.1733, 0.1733)  3 Al 2.90
Ru (0.1692, 0.6103, 0.6103)  6 Ho 2.74-2.83
Ru (0.6103, 0.1692, 0.6103)  6 Ho 2.74-2.83
Ru (0.6103, 0.6103, 0.1692)  6 Ho 2.74-2.83
Ru (0.6103, 0.6103, 0.6103)  6 Ho 2.74-2.83

Properties
Mass density   8.7 g cm⁻³
DOS(E_F)   4.665 states/eV/f.u.
Spin magnetization   0.00 μB/cell

=====

Relative to the most stable one, in kJ/mol of atoms, the structures come out at #one 5.5; #two 0.0.

=====

#one
Compound: HoSc2Al
Source: the Alexandria database
Functional: PBE-GGA
Structure: optimized geometry

a b c (Å): 5.0813 5.0813 5.0813
angles (deg): 60.00 60.00 60.00
Last column: nearest neighbours and their distance in Å.
Positions (direct):
Ho (0.0000, 0.0000, 0.0000)  8 Sc 3.11
Sc (0.2500, 0.2500, 0.2500)  4 Ho 3.11, 4 Al 3.11
Sc (0.7500, 0.7500, 0.7500)  4 Ho 3.11, 4 Al 3.11
Al (0.5000, 0.5000, 0.5000)  8 Sc 3.11

Properties
Mass density   5.0 g cm⁻³
DOS(E_F)   6.832 states/eV/f.u.
Spin magnetization   0.85 μB/cell

=====

#two
Compound: HoSc2Al
Source: the Alexandria database
Functional: PBE-GGA
Structure: optimized geometry

a b c (Å): 6.1635 6.1635 6.1635
angles (deg): 146.89 131.01 60.41
Last column: nearest neighbours and their distance in Å.
Positions (direct):
Ho (0.0000, 0.0000, 0.0000)  4 Al 3.10, 8 Sc 3.46-3.47
Sc (0.2804, 0.7804, 0.5000)  2 Al 2.93, 4 Sc 3.17
Sc (0.7196, 0.2196, 0.5000)  2 Al 2.93, 4 Sc 3.17
Al (0.5000, 0.5000, 0.0000)  4 Sc 2.93, 4 Ho 3.10

Properties
Mass density   4.9 g cm⁻³
DOS(E_F)   4.464 states/eV/f.u.
Spin magnetization   0.00 μB/cell

=====

#three
Compound: HoSc2Al
Source: the Alexandria database
Functional: PBE-GGA
Structure: optimized geometry

a b c (Å): 4.5154 4.5154 4.5599
angles (deg): 90.00 90.00 90.00
Last column: nearest neighbours and their distance in Å.
Positions (direct):
Ho (0.0000, 0.0000, 0.0000)  4 Al 3.19, 8 Sc 3.21
Sc (0.0000, 0.5000, 0.5000)  4 Sc 3.19, 4 Al 3.21, 4 Ho 3.21
Sc (0.5000, 0.0000, 0.5000)  4 Sc 3.19, 4 Al 3.21, 4 Ho 3.21
Al (0.5000, 0.5000, 0.0000)  4 Ho 3.19, 8 Sc 3.21

Properties
Mass density   5.0 g cm⁻³
DOS(E_F)   5.327 states/eV/f.u.
Spin magnetization   0.00 μB/cell

=====

#four
Compound: HoSc2Al
Source: the Alexandria database
Functional: PBE-GGA
Structure: optimized geometry

a b c (Å): 3.3259 3.3259 8.5249
angles (deg): 90.00 90.00 90.00
Last column: nearest neighbours and their distance in Å.
Positions (direct):
Ho (0.0000, 0.0000, 0.0000)  4 Ho 3.33, 8 Sc 3.40
Sc (0.5000, 0.5000, 0.2882)  4 Al 2.97
Sc (0.5000, 0.5000, 0.7118)  4 Al 2.97
Al (0.0000, 0.0000, 0.5000)  8 Sc 2.97

Properties
Mass density   5.0 g cm⁻³
DOS(E_F)   4.127 states/eV/f.u.
Spin magnetization   0.00 μB/cell

=====

Relative to the most stable one, in kJ/mol of atoms, the structures come out at #one 14.5; #two 0.0; #three 1.0; #four 1.7.

=====

#one
Compound: Ho3ScAl
Source: the Alexandria database
Functional: PBE-GGA
Structure: optimized geometry

a b c (Å): 14.2110 14.2110 5.1358
angles (deg): 90.00 90.00 165.10
Last column: nearest neighbours and their distance in Å.
Positions (direct):
Ho (0.0408, 0.9592, 0.7500)  8 Ho 3.26-3.60, 2 Sc 3.63
Ho (0.2616, 0.7384, 0.7500)  2 Al 3.01, 4 Ho 3.23
Ho (0.4313, 0.5687, 0.7500)  2 Al 3.03, 4 Ho 3.26
Ho (0.5687, 0.4313, 0.2500)  2 Al 3.03, 4 Ho 3.26
Ho (0.7384, 0.2616, 0.2500)  2 Al 3.01, 4 Ho 3.23
Ho (0.9592, 0.0408, 0.2500)  8 Ho 3.26-3.60, 2 Sc 3.63
Sc (0.3481, 0.6519, 0.2500)  4 Al 3.16, 2 Ho 3.48
Sc (0.6519, 0.3481, 0.7500)  4 Al 3.16, 2 Ho 3.48
Al (0.1539, 0.8461, 0.2500)  4 Ho 3.01-3.03, 4 Sc 3.16
Al (0.8461, 0.1539, 0.7500)  4 Ho 3.01-3.03, 4 Sc 3.16

Properties
Mass density   7.1 g cm⁻³
DOS(E_F)   4.202 states/eV/f.u.
Spin magnetization   0.00 μB/cell

=====

#two
Compound: Ho3ScAl
Source: the Alexandria database
Functional: PBE-GGA
Structure: optimized geometry

a b c (Å): 8.2844 8.2844 6.7370
angles (deg): 90.00 90.00 144.76
Last column: nearest neighbours and their distance in Å.
Positions (direct):
Ho (0.1121, 0.8879, 0.0001)  3 Al 3.30-3.47, 6 Ho 3.34-3.54, 4 Sc 3.44-3.56
Ho (0.1121, 0.8879, 0.4999)  3 Al 3.30-3.47, 6 Ho 3.34-3.54, 4 Sc 3.44-3.56
Ho (0.2972, 0.7028, 0.7500)  2 Al 2.98, 1 Sc 3.32
Ho (0.7028, 0.2972, 0.2500)  2 Al 2.98, 1 Sc 3.32
Ho (0.8879, 0.1121, 0.9999)  3 Al 3.30-3.47, 6 Ho 3.34-3.54, 4 Sc 3.44-3.56
Ho (0.8879, 0.1121, 0.5001)  3 Al 3.30-3.47, 6 Ho 3.34-3.54, 4 Sc 3.44-3.56
Sc (0.4924, 0.5076, 0.2500)  1 Al 2.97
Sc (0.5076, 0.4924, 0.7500)  1 Al 2.97
Al (0.3045, 0.6955, 0.2500)  1 Sc 2.97, 6 Ho 2.98-3.30
Al (0.6955, 0.3045, 0.7500)  1 Sc 2.97, 6 Ho 2.98-3.30

Properties
Mass density   7.1 g cm⁻³
DOS(E_F)   7.254 states/eV/f.u.
Spin magnetization   0.08 μB/cell

=====

Relative to the most stable one, in kJ/mol of atoms, the structures come out at #one 3.1; #two 0.0.